# 1
A relaxed BeHF2 crystal. Source: Alexandria, functional PBE.

E_tot   -14.4 eV for the cell shown
Space group   Fm-3m (225)

Lattice parameters (Å, degrees): 3.401 3.401 3.401 60.00 60.00 60.00
Fractional positions:
1 F 0.250 0.250 0.250
2 Be 0.500 0.500 0.500
3 H 0.000 0.000 0.000
4 F 0.750 0.750 0.750

---

# 2
A relaxed NaC3Br crystal. Source: Alexandria, functional PBE.

Formation energy (no corrections)   3.28 eV per atom
Space group   Pm-3m (221)

Lattice parameters (Å, degrees): 4.299 4.299 4.299 90.00 90.00 90.00
Fractional positions:
1 C 0.000 0.500 0.000
2 Na 0.500 0.500 0.500
3 C 0.000 0.000 0.500
4 Br 0.000 0.000 0.000
5 C 0.500 0.000 0.000

---

# 3
A relaxed CaTeF6 crystal. Source: Alexandria, functional PBE.

Formation energy (no corrections)   -2.76 eV per atom
Space group   C2/m (12)

Lattice parameters (Å, degrees): 5.358 5.358 5.585 69.71 69.71 73.03
Fractional positions:
1 F 0.738 0.738 0.092
2 F 0.163 0.704 0.295
3 F 0.704 0.163 0.295
4 F 0.837 0.296 0.705
5 F 0.296 0.837 0.705
6 Te 0.000 0.000 0.000
7 F 0.262 0.262 0.908
8 Ca 0.500 0.500 0.500

---

Fermi-level density of states? In order: 0.3; 2.7; 0.0 states/eV per cell.